# PBEsol InHg2Pb2, relaxed
data_InHg2Pb2
_space_group_name_H-M_alt 'P 1'
_space_group_IT_number 1
_space_group_name_Hall 'P 1'
_cell_length_a 9.035
_cell_length_b 9.035
_cell_length_c 9.035
_cell_angle_alpha 154.22
_cell_angle_beta 154.22
_cell_angle_gamma 36.77
loop_
_atom_site_label
_atom_site_type_symbol
_atom_site_fract_x
_atom_site_fract_y
_atom_site_fract_z
In1 In 0.000 0.000 0.000
Hg1 Hg 0.250 0.750 0.500
Hg2 Hg 0.750 0.250 0.500
Pb1 Pb 0.400 0.400 0.000
Pb2 Pb 0.600 0.600 0.000
# Formation energy from the elements in eV/atom: 0.07
# Total energy in hartree per atom: -0.086
# Fermi-level density of states in states/eV per cell: 2.1
# Size of the total moment in μB per cell: 0.000

***

# PBEsol TlCuSb2, relaxed
data_TlCuSb2
_space_group_name_H-M_alt 'P 1'
_space_group_IT_number 1
_space_group_name_Hall 'P 1'
_cell_length_a 7.454
_cell_length_b 7.454
_cell_length_c 7.454
_cell_angle_alpha 30.99
_cell_angle_beta 30.99
_cell_angle_gamma 30.99
loop_
_atom_site_label
_atom_site_type_symbol
_atom_site_fract_x
_atom_site_fract_y
_atom_site_fract_z
Tl1 Tl 0.000 0.000 0.000
Cu1 Cu 0.500 0.500 0.500
Sb1 Sb 0.226 0.226 0.226
Sb2 Sb 0.774 0.774 0.774
# Total energy in hartree per atom: -0.145
# Fermi-level density of states in states/eV per cell: 1.8
# Size of the total moment in μB per cell: 0.000
# E_form (uncorrected) in eV per formula unit: 0.26

***

# PBEsol ZrPW2, relaxed
data_ZrPW2
_space_group_name_H-M_alt 'P 1'
_space_group_IT_number 1
_space_group_name_Hall 'P 1'
_cell_length_a 4.867
_cell_length_b 4.867
_cell_length_c 5.113
_cell_angle_alpha 119.95
_cell_angle_beta 119.95
_cell_angle_gamma 39.93
loop_
_atom_site_label
_atom_site_type_symbol
_atom_site_fract_x
_atom_site_fract_y
_atom_site_fract_z
Zr1 Zr 0.000 0.000 0.000
P1 P 0.721 0.721 0.410
W1 W 0.208 0.208 0.747
W2 W 0.430 0.430 0.424
# Formation energy from the elements in eV/atom: -0.17
# Total energy in hartree per atom: -0.397
# Fermi-level density of states in states/eV per cell: 3.1
# Size of the total moment in μB per cell: 0.000

***

# PBEsol TaWCl2, relaxed
data_TaWCl2
_space_group_name_H-M_alt 'P 1'
_space_group_IT_number 1
_space_group_name_Hall 'P 1'
_cell_length_a 9.633
_cell_length_b 9.633
_cell_length_c 9.633
_cell_angle_alpha 17.80
_cell_angle_beta 17.80
_cell_angle_gamma 17.80
loop_
_atom_site_label
_atom_site_type_symbol
_atom_site_fract_x
_atom_site_fract_y
_atom_site_fract_z
Ta1 Ta 0.000 0.000 0.000
W1 W 0.753 0.753 0.753
Cl1 Cl 0.270 0.270 0.270
Cl2 Cl 0.481 0.481 0.481
# Total energy in hartree per atom: -0.291
# Fermi-level density of states in states/eV per cell: 2.7
# Size of the total moment in μB per cell: 0.000
# E_form (uncorrected) in eV per formula unit: -1.35

***

What is the total energy in the fourth record?
-0.291 hartree per atom